Record 1
The following is a DFT calculation (GGA-PBE) of ZnReGe3 after structural relaxation.

Cell: 4.7185 4.7185 4.7185 Å, 90.00 90.00 90.00°
With the nearest neighbours (Å) after each atom.
Space group Pm-3m (No. 221)
One atom of each set of equivalent atoms:
Zn 0.0000 0.0000 0.0000 (multiplicity 1)  6 Ge 2.36
Re 0.5000 0.5000 0.5000 (multiplicity 1)  12 Ge 3.34
Ge 0.0000 0.0000 0.5000 (multiplicity 3)  2 Zn 2.36

## Properties
Fermi-level density of states = 3.0 states/eV per cell
ΔH_f (0 K) = 1.42 eV/atom
total magnetic moment = 0.609 μB per atom

Record 2
The following is a DFT calculation (GGA-PBE) of LiPrSm2 after structural relaxation.

Cell: 3.5442 3.5442 37.4221 Å, 90.00 90.00 120.00°
With the nearest neighbours (Å) after each atom.
Space group R-3m (No. 166, hexagonal axes)
One atom of each set of equivalent atoms:
Li 0.0000 0.0000 0.0000 (multiplicity 3)  2 Sm 3.29, 6 Li 3.54
Pr 0.0000 0.0000 0.5000 (multiplicity 3)  6 Pr 3.54, 6 Sm 3.59
Sm 0.0000 0.0000 0.0879 (multiplicity 6)  1 Li 3.29, 6 Sm 3.54, 3 Pr 3.59

## Properties
Fermi-level density of states = 17.8 states/eV per cell
ΔH_f (0 K) = 0.19 eV/atom
total magnetic moment = 0.000 μB per atom

Record 3
The following is a DFT calculation (GGA-PBE) of La2Nd3DyTm6 after structural relaxation.

Cell: 6.2269 10.7792 11.7524 Å, 90.00 100.15 90.00°
With the nearest neighbours (Å) after each atom.
Space group C2/m (No. 12)
One atom of each set of equivalent atoms:
La 0.0000 0.1663 0.0000 (multiplicity 4)  6 Tm 3.57, 3 La 3.59-3.60, 3 Dy 3.59-3.60
Nd 0.0000 0.0000 0.5000 (multiplicity 2)  6 Tm 3.55, 6 Nd 3.59
Nd 0.0000 0.3333 0.5000 (multiplicity 4)  6 Tm 3.55-3.56, 6 Nd 3.59
Dy 0.0000 0.5000 0.0000 (multiplicity 2)  6 Tm 3.56-3.57, 6 La 3.59-3.60
Tm 0.2489 0.5000 0.7490 (multiplicity 4)  3 Nd 3.55, 1 Dy 3.57, 2 La 3.57, 6 Tm 3.58-3.60
Tm 0.2505 0.1662 0.7492 (multiplicity 8)  3 Nd 3.55-3.56, 1 Dy 3.56, 2 La 3.57, 6 Tm 3.58-3.60

## Properties
Fermi-level density of states = 26.0 states/eV per cell
ΔH_f (0 K) = 0.02 eV/atom
total magnetic moment = 0.000 μB per atom

Record 4
The following is a DFT calculation (GGA-PBE) of DyEr4Ni2 after structural relaxation.

Cell: 7.4797 6.3173 7.8273 Å, 90.00 112.37 90.00°
With the nearest neighbours (Å) after each atom.
Space group P2_1/m (No. 11)
One atom of each set of equivalent atoms:
Dy 0.1504 0.2500 0.0259 (multiplicity 2)  2 Ni 2.87-2.99
Er 0.0260 0.2500 0.3874 (multiplicity 2)  1 Ni 2.59
Er 0.2525 0.7500 0.3446 (multiplicity 2)  2 Ni 2.67-2.76
Er 0.4082 0.0039 0.7676 (multiplicity 4)  4 Ni 2.92-3.11, 2 Er 3.11-3.21
Ni 0.2566 0.7500 0.9935 (multiplicity 2)  6 Er 2.76-2.94, 1 Dy 2.99
Ni 0.3817 0.2500 0.4142 (multiplicity 2)  2 Er 2.59-2.67, 1 Dy 2.87

## Properties
Fermi-level density of states = 18.2 states/eV per cell
ΔH_f (0 K) = -0.17 eV/atom
total magnetic moment = 0.000 μB per atom